1.
Entry from the Alexandria database: Ba2TeAs2 after structural relaxation (PBE-GGA).

Cell: 8.579 8.579 4.564 Å, 90.00 90.00 90.00°
Element x y z (fractional)
1 As 0.403 0.903 0.000
2 As 0.903 0.597 0.000
3 As 0.597 0.097 0.000
4 As 0.097 0.403 0.000
5 Te 0.000 0.000 0.000
6 Te 0.500 0.500 0.000
7 Ba 0.191 0.691 0.500
8 Ba 0.691 0.809 0.500
9 Ba 0.809 0.309 0.500
10 Ba 0.309 0.191 0.500

energy relative to the elements, uncorrected = -24.019 kcal/mol of atoms
offset from the most stable computed form = 0.000 kcal/mol of atoms
SG = No. 127



2.
Entry from the Alexandria database: CaFe3Se after structural relaxation (PBE-GGA).

Cell: 4.494 4.494 4.494 Å, 90.00 90.00 90.00°
Each line ends with the local moment (μB).
Element x y z (fractional)
1 Ca 0.500 0.500 0.500  -0.12
2 Fe 0.000 0.500 0.000  2.27
3 Fe 0.000 0.000 0.500  2.21
4 Fe 0.500 0.000 0.000  2.30
5 Se 0.000 0.000 0.000  -0.05

energy relative to the elements, uncorrected = 7.892 kcal/mol of atoms
offset from the most stable computed form = 0.000 kcal/mol of atoms
SG = No. 221



3.
Entry from the Alexandria database: SrSnHg4 after structural relaxation (PBE-GGA).

Cell: 5.177 8.157 8.859 Å, 90.00 106.99 90.00°
Element x y z (fractional)
1 Sr 0.382 0.750 0.764
2 Sr 0.618 0.250 0.236
3 Sn 0.155 0.750 0.310
4 Sn 0.845 0.250 0.690
5 Hg 0.224 0.423 0.448
6 Hg 0.776 0.577 0.552
7 Hg 0.224 0.077 0.448
8 Hg 0.776 0.923 0.552
9 Hg 0.573 0.750 0.145
10 Hg 0.427 0.250 0.855
11 Hg 0.000 0.500 0.000
12 Hg 0.000 0.000 0.000

offset from the most stable computed form = 1.547 kcal/mol of atoms
E_form = -18 kJ per mole of atoms
SG = No. 63



4.
Entry from the Alexandria database: Rb2NpS4 after structural relaxation (PBE-GGA).

Cell: 7.320 7.320 17.454 Å, 102.10 102.10 90.00°
Each line ends with the local moment (μB).
Element x y z (fractional)
1 Rb 0.927 0.427 0.854  0.00
2 Rb 0.177 0.177 0.354  0.00
3 Rb 0.323 0.323 0.646  0.00
4 Rb 0.073 0.573 0.146  0.00
5 Rb 0.677 0.677 0.354  0.00
6 Rb 0.427 0.927 0.854  0.00
7 Rb 0.573 0.073 0.146  0.00
8 Rb 0.823 0.823 0.646  0.00
9 Np 0.250 0.750 0.500  1.67
10 Np 0.500 0.500 0.000  1.67
11 Np 0.000 0.000 0.000  1.67
12 Np 0.750 0.250 0.500  1.67
13 S 0.574 0.574 0.147  -0.12
14 S 0.324 0.824 0.647  -0.12
15 S 0.676 0.176 0.353  -0.12
16 S 0.926 0.926 0.853  -0.12
17 S 0.176 0.676 0.353  -0.12
18 S 0.426 0.426 0.853  -0.12
19 S 0.074 0.074 0.147  -0.12
20 S 0.824 0.324 0.647  -0.12
21 S 0.501 0.501 0.500  -0.12
22 S 0.749 0.751 0.000  -0.12
23 S 0.251 0.249 0.000  -0.12
24 S 0.999 0.999 0.500  -0.12
25 S 0.751 0.251 0.000  -0.12
26 S 0.499 0.001 0.500  -0.12
27 S 0.001 0.499 0.500  -0.12
28 S 0.249 0.749 0.000  -0.12

energy relative to the elements, uncorrected = -26.482 kcal/mol of atoms
offset from the most stable computed form = 0.000 kcal/mol of atoms
SG = No. 142



5.
Entry from the Alexandria database: NaAcLaSc after structural relaxation (PBE-GGA).

Cell: 5.814 5.814 5.814 Å, 60.00 60.00 60.00°
Element x y z (fractional)
1 Sc 0.250 0.250 0.250
2 Na 0.750 0.750 0.750
3 Ac 0.500 0.500 0.500
4 La 0.000 0.000 0.000

E_form = 23 kJ per mole of atoms
SG = No. 216



6.
Entry from the Alexandria database: AgP5 after structural relaxation (PBE-GGA).

Cell: 5.654 5.654 8.147 Å, 62.79 62.79 32.50°
Element x y z (fractional)
1 Ag 0.010 0.010 0.041
2 P 0.620 0.620 0.720
3 P 0.349 0.349 0.350
4 P 0.277 0.277 0.661
5 P 0.163 0.163 0.305
6 P 0.748 0.748 0.089

offset from the most stable computed form = 0.000 kcal/mol of atoms
E_form = 25 kJ per mole of atoms
SG = No. 8



7.
Entry from the Alexandria database: Ni2SbSe3 after structural relaxation (PBE-GGA).

Cell: 7.043 7.043 6.947 Å, 59.54 59.54 60.00°
Element x y z (fractional)
1 Ni 0.000 0.000 0.000
2 Ni 0.500 0.000 0.000
3 Ni 0.500 0.500 0.000
4 Ni 0.000 0.500 0.000
5 Sb 0.234 0.234 0.298
6 Sb 0.766 0.766 0.702
7 Se 0.241 0.740 0.778
8 Se 0.740 0.241 0.778
9 Se 0.241 0.241 0.778
10 Se 0.260 0.759 0.222
11 Se 0.759 0.260 0.222
12 Se 0.759 0.759 0.222

energy relative to the elements, uncorrected = -4.784 kcal/mol of atoms
SG = No. 166



8.
Entry from the Alexandria database: NaZrAl after structural relaxation (PBE-GGA).

Cell: 4.169 3.188 13.038 Å, 60.75 90.00 90.00°
Element x y z (fractional)
1 Na 0.710 0.733 0.583
2 Na 0.211 0.725 0.835
3 Al 0.211 0.596 0.400
4 Al 0.711 0.860 0.018
5 Zr 0.711 0.321 0.288
6 Zr 0.211 0.136 0.130

offset from the most stable computed form = 1.021 kcal/mol of atoms
E_form = -4 kJ per mole of atoms
SG = No. 11



9.
Entry from the Alexandria database: Nd2Er12Th after structural relaxation (PBE-GGA).

Cell: 6.597 6.596 24.927 Å, 90.98 101.95 116.02°
Element x y z (fractional)
1 Nd 0.651 0.017 0.269
2 Nd 0.151 0.517 0.269
3 Nd 0.865 0.500 0.730
4 Nd 0.365 0.000 0.730
5 Er 0.436 0.535 0.800
6 Er 0.935 0.035 0.800
7 Er 0.815 0.849 0.931
8 Er 0.250 0.816 0.866
9 Er 0.217 0.050 0.335
10 Er 0.259 0.696 0.126
11 Er 0.472 0.178 0.588
12 Er 0.717 0.550 0.335
13 Er 0.315 0.349 0.931
14 Er 0.710 0.671 0.077
15 Er 0.926 0.155 0.542
16 Er 0.046 0.339 0.413
17 Er 0.800 0.968 0.666
18 Er 0.591 0.362 0.459
19 Er 0.210 0.171 0.077
20 Er 0.092 0.862 0.459
21 Er 0.426 0.655 0.542
22 Er 0.083 0.982 0.201
23 Er 0.972 0.679 0.588
24 Er 0.300 0.468 0.666
25 Er 0.750 0.317 0.866
26 Er 0.583 0.482 0.201
27 Er 0.546 0.839 0.413
28 Er 0.759 0.196 0.126
29 Th 0.380 0.881 0.997
30 Th 0.880 0.381 0.997

E_form = 5 kJ per mole of atoms
SG = No. 1



10.
Entry from the Alexandria database: LaHoRu after structural relaxation (PBE-GGA).

Cell: 4.874 4.874 4.874 Å, 60.00 60.00 60.00°
Element x y z (fractional)
1 Ru 0.250 0.250 0.250
2 Ho 0.000 0.000 0.000
3 La 0.500 0.500 0.500

offset from the most stable computed form = 0.820 kcal/mol of atoms
E_form = -22 kJ per mole of atoms
SG = No. 216



11.
Entry from the Alexandria database: NbHgPb2 after structural relaxation (PBE-GGA).

Cell: 8.438 8.438 6.709 Å, 51.03 51.03 90.00°
Element x y z (fractional)
1 Pb 0.590 0.125 0.250
2 Pb 0.160 0.625 0.250
3 Pb 0.375 0.410 0.750
4 Pb 0.875 0.840 0.750
5 Nb 0.500 0.500 0.000
6 Nb 0.250 0.750 0.500
7 Hg 0.000 0.000 0.000
8 Hg 0.750 0.250 0.500

E_form = 64 kJ per mole of atoms
SG = No. 122



12.
Entry from the Alexandria database: SiTcP2S after structural relaxation (PBE-GGA).

Cell: 4.451 4.451 4.402 Å, 90.00 90.00 90.00°
Each line ends with the local moment (μB).
Element x y z (fractional)
1 P 0.000 0.500 0.000  -0.14
2 P 0.500 0.000 0.000  -0.14
3 S 0.000 0.000 0.500  -0.10
4 Si 0.000 0.000 0.000  -0.01
5 Tc 0.500 0.500 0.500  2.45

energy relative to the elements, uncorrected = 22.365 kcal/mol of atoms
offset from the most stable computed form = 5.691 kcal/mol of atoms
SG = No. 123



13.
Entry from the Alexandria database: TbDy3N4 after structural relaxation (PBE-GGA).

Cell: 4.921 4.921 4.921 Å, 90.00 90.00 90.00°
Element x y z (fractional)
1 Tb 0.000 0.000 0.000
2 Dy 0.000 0.500 0.500
3 Dy 0.500 0.000 0.500
4 Dy 0.500 0.500 0.000
5 N 0.500 0.000 0.000
6 N 0.000 0.500 0.000
7 N 0.000 0.000 0.500
8 N 0.500 0.500 0.500

energy relative to the elements, uncorrected = -39.073 kcal/mol of atoms
SG = No. 221



14.
Entry from the Alexandria database: Li2Dy2Ag3 after structural relaxation (PBE-GGA).

Cell: 3.631 3.470 11.963 Å, 90.00 81.27 90.00°
Element x y z (fractional)
1 Li 0.710 0.500 0.579
2 Li 0.290 0.500 0.421
3 Dy 0.579 0.500 0.842
4 Dy 0.421 0.500 0.158
5 Ag 0.841 0.000 0.317
6 Ag 0.000 0.000 0.000
7 Ag 0.159 0.000 0.683

E_form = -19 kJ per mole of atoms
SG = No. 65



15.
Entry from the Alexandria database: TbErPt after structural relaxation (PBE-GGA).

Cell: 3.615 5.135 8.154 Å, 90.00 102.81 90.00°
Element x y z (fractional)
1 Tb 0.927 0.250 0.854
2 Tb 0.073 0.750 0.146
3 Er 0.218 0.250 0.435
4 Er 0.782 0.750 0.565
5 Pt 0.577 0.250 0.155
6 Pt 0.423 0.750 0.845

offset from the most stable computed form = 1.420 kcal/mol of atoms
E_form = -79 kJ per mole of atoms
SG = No. 63



16.
Entry from the Alexandria database: Y2TiCrRh after structural relaxation (PBE-GGA).

Cell: 5.399 4.654 5.399 Å, 90.00 90.00 90.00°
Each line ends with the local moment (μB).
Element x y z (fractional)
1 Y 0.000 0.000 0.500  -0.03
2 Y 0.500 0.000 0.000  -0.10
3 Cr 0.500 0.500 0.500  3.95
4 Rh 0.000 0.000 0.000  0.11
5 Ti 0.000 0.500 0.000  -0.74

E_form = 26 kJ per mole of atoms
SG = No. 123



17.
Entry from the Alexandria database: MoP2Os after structural relaxation (PBE-GGA).

Cell: 4.469 4.469 4.444 Å, 75.65 75.65 39.77°
Element x y z (fractional)
1 Mo 0.495 0.495 0.582
2 Os 0.255 0.255 0.169
3 P 0.995 0.995 0.038
4 P 0.755 0.755 0.711

offset from the most stable computed form = 0.619 kcal/mol of atoms
E_form = -21 kJ per mole of atoms
SG = No. 8



18.
Entry from the Alexandria database: Y2PaAl after structural relaxation (PBE-GGA).

Cell: 3.289 3.289 11.532 Å, 81.80 81.80 60.00°
Element x y z (fractional)
1 Y 0.096 0.096 0.712
2 Y 0.904 0.904 0.288
3 Pa 0.000 0.000 0.000
4 Al 0.500 0.500 0.500

offset from the most stable computed form = 6.075 kcal/mol of atoms
E_form = 19 kJ per mole of atoms
SG = No. 166



19.
Entry from the Alexandria database: Li2H2NCl2 after structural relaxation (PBE-GGA).

Cell: 2.958 5.768 6.555 Å, 58.47 77.30 89.13°
Each line ends with the local moment (μB).
Element x y z (fractional)
1 Li 0.621 0.945 0.764  0.00
2 Li 0.379 0.055 0.236  0.00
3 H 0.057 0.208 0.880  0.00
4 H 0.943 0.792 0.120  0.00
5 N 0.000 0.000 0.000  0.17
6 Cl 0.820 0.332 0.338  0.00
7 Cl 0.180 0.668 0.662  0.00

SG = No. 2



20.
Entry from the Alexandria database: KZr3Co after structural relaxation (PBE-GGA).

Cell: 5.029 5.029 5.029 Å, 90.00 90.00 90.00°
Element x y z (fractional)
1 K 0.500 0.500 0.500
2 Co 0.000 0.000 0.000
3 Zr 0.000 0.500 0.000
4 Zr 0.000 0.000 0.500
5 Zr 0.500 0.000 0.000

offset from the most stable computed form = 0.000 kcal/mol of atoms
E_form = 52 kJ per mole of atoms
SG = No. 221



21.
Entry from the Alexandria database: CoReTe2 after structural relaxation (PBE-GGA).

Cell: 3.883 3.882 6.632 Å, 89.95 90.00 90.00°
Each line ends with the local moment (μB).
Element x y z (fractional)
1 Co 0.000 0.375 0.625  0.50
2 Re 0.500 0.875 0.625  -0.06
3 Te 0.000 0.875 0.884  0.00
4 Te 0.500 0.375 0.366  0.00

energy relative to the elements, uncorrected = 3.668 kcal/mol of atoms
offset from the most stable computed form = 1.094 kcal/mol of atoms
SG = No. 115



22.
Entry from the Alexandria database: PtAuS after structural relaxation (PBE-GGA).

Cell: 2.916 7.236 5.906 Å, 64.12 75.71 78.38°
Element x y z (fractional)
1 Pt 0.369 0.785 0.477
2 Pt 0.631 0.215 0.523
3 S 0.859 0.061 0.221
4 S 0.141 0.939 0.779
5 Au 0.629 0.598 0.144
6 Au 0.371 0.402 0.856

energy relative to the elements, uncorrected = 4.457 kcal/mol of atoms
SG = No. 12



23.
Entry from the Alexandria database: SrPa2CrS8 after structural relaxation (PBE-GGA).

Cell: 6.167 5.974 8.263 Å, 90.00 90.00 87.77°
Each line ends with the local moment (μB).
Element x y z (fractional)
1 Sr 0.000 0.000 0.500  0.00
2 Pa 0.500 0.500 0.756  0.08
3 Pa 0.500 0.500 0.244  0.08
4 Cr 0.000 0.000 0.000  2.48
5 S 0.172 0.776 0.201  -0.08
6 S 0.686 0.735 0.000  -0.12
7 S 0.828 0.224 0.201  -0.08
8 S 0.828 0.224 0.799  -0.08
9 S 0.314 0.265 0.000  -0.12
10 S 0.172 0.776 0.799  -0.08
11 S 0.633 0.722 0.500  -0.01
12 S 0.367 0.278 0.500  -0.01

energy relative to the elements, uncorrected = -28.291 kcal/mol of atoms
SG = No. 10



24.
Entry from the Alexandria database: CuP2SeCl after structural relaxation (PBE-GGA).

Cell: 4.641 4.641 4.427 Å, 90.00 90.00 90.00°
Element x y z (fractional)
1 P 0.000 0.500 0.000
2 P 0.500 0.000 0.000
3 Cu 0.000 0.000 0.000
4 Se 0.500 0.500 0.500
5 Cl 0.000 0.000 0.500

energy relative to the elements, uncorrected = 15.762 kcal/mol of atoms
offset from the most stable computed form = 0.000 kcal/mol of atoms
SG = No. 123



| no. | energy (eV/cell) |
| --- | --- |
| 1 | -42.99 |
| 2 | -29.16 |
| 3 | -16.03 |
| 4 | -157.70 |
| 5 | -15.73 |
| 6 | -28.37 |
| 7 | -54.77 |
| 8 | -27.50 |
| 9 | -141.82 |
| 10 | -19.47 |
| 11 | -30.24 |
| 12 | -25.89 |
| 13 | -65.29 |
| 14 | -22.96 |
| 15 | -35.38 |
| 16 | -36.43 |
| 17 | -33.75 |
| 18 | -25.37 |
| 19 | -27.00 |
| 20 | -31.15 |
| 21 | -25.20 |
| 22 | -25.73 |
| 23 | -78.04 |
| 24 | -16.83 |